[1]
First-principles (PBE) data for a geometry-optimized PmNd2Pu structure, as listed in Alexandria via LeMat-Bulk.

Unit cell a=3.627 b=3.627 c=11.899 alpha=81.23 beta=81.23 gamma=60.00
Positions (direct):
Pu 0.667 0.667 0.000
Nd 0.081 0.081 0.757
Nd 0.252 0.252 0.243
Pm 0.500 0.500 0.500

## Properties
Total magnetic moment: 1.55 μB per atom
Formation enthalpy at 0 K: 0.128 eV per atom
Crystal system: trigonal
N(E_F): 11.967 states/eV per cell

=====

[2]
First-principles (PBE) data for a geometry-optimized ScCd2Bi structure, as listed in Alexandria via LeMat-Bulk.

Unit cell a=5.071 b=4.358 c=4.358 alpha=90.00 beta=90.00 gamma=90.00
Positions (direct):
Cd 0.000 0.500 0.000
Cd 0.000 0.000 0.500
Bi 0.500 0.500 0.500
Sc 0.500 0.000 0.000

## Properties
Total magnetic moment: 0.00 μB per atom
Formation enthalpy at 0 K: -0.266 eV per atom
Crystal system: tetragonal
N(E_F): 1.665 states/eV per cell

=====

[3]
First-principles (PBE) data for a geometry-optimized Li3ScIr structure, as listed in Alexandria via LeMat-Bulk.

Unit cell a=4.544 b=4.544 c=4.544 alpha=90.00 beta=90.00 gamma=90.00
Positions (direct):
Ir 0.000 0.000 0.000
Li 0.000 0.500 0.000
Li 0.500 0.000 0.000
Li 0.000 0.000 0.500
Sc 0.500 0.500 0.500

## Properties
Total magnetic moment: 0.00 μB per atom
Formation enthalpy at 0 K: 0.390 eV per atom
Crystal system: cubic
N(E_F): 2.947 states/eV per cell